[1]
Computed, not measured: crystalline Mg4HgAu at its relaxed geometry at the PBE-GGA level of DFT.

```
data_Mg4HgAu
_chemical_formula_sum 'Mg4 Hg1 Au1'
_symmetry_space_group_name_H-M 'P 1'
_symmetry_Int_Tables_number 1
_cell_length_a 5.6469
_cell_length_b 5.6469
_cell_length_c 5.6469
_cell_angle_alpha 60.00
_cell_angle_beta 60.00
_cell_angle_gamma 60.00
loop_
_symmetry_equiv_pos_as_xyz
'x,y,z'
loop_
_atom_site_label
_atom_site_type_symbol
_atom_site_fract_x
_atom_site_fract_y
_atom_site_fract_z
Mg1 Mg 0.1246 0.1246 0.1246
Mg2 Mg 0.1246 0.1246 0.6261
Mg3 Mg 0.1246 0.6261 0.1246
Mg4 Mg 0.6261 0.1246 0.1246
Hg1 Hg 0.5000 0.5000 0.5000
Au1 Au 0.7500 0.7500 0.7500
```

calculated total energy: -1.65 eV per atom
magnetization: 0.00 μB per formula unit
energy of formation: 1.3 kJ per mole of atoms

[2]
Computed, not measured: crystalline Ca2TiSbO6 at its relaxed geometry at the PBE-GGA level of DFT.

```
data_Ca2TiSbO6
_chemical_formula_sum 'Ca4 Ti2 Sb2 O12'
_symmetry_space_group_name_H-M 'P 1'
_symmetry_Int_Tables_number 1
_cell_length_a 5.5100
_cell_length_b 7.9528
_cell_length_c 5.6999
_cell_angle_alpha 90.00
_cell_angle_beta 90.04
_cell_angle_gamma 90.00
loop_
_symmetry_equiv_pos_as_xyz
'x,y,z'
loop_
_atom_site_label
_atom_site_type_symbol
_atom_site_fract_x
_atom_site_fract_y
_atom_site_fract_z
Ca1 Ca 0.0117 0.2500 0.4533
Ca2 Ca 0.4851 0.2500 0.9383
Ca3 Ca 0.5149 0.7500 0.0617
Ca4 Ca 0.9883 0.7500 0.5467
Ti1 Ti 0.5000 0.0000 0.5000
Ti2 Ti 0.5000 0.5000 0.5000
Sb1 Sb 0.0000 0.0000 0.0000
Sb2 Sb 0.0000 0.5000 0.0000
O1 O 0.0965 0.7500 0.9677
O2 O 0.2078 0.0514 0.6931
O3 O 0.2078 0.4486 0.6931
O4 O 0.3112 0.0511 0.2093
O5 O 0.3112 0.4489 0.2093
O6 O 0.4074 0.7500 0.4682
O7 O 0.5926 0.2500 0.5318
O8 O 0.6888 0.5511 0.7907
O9 O 0.6888 0.9489 0.7907
O10 O 0.7922 0.5514 0.3069
O11 O 0.7922 0.9486 0.3069
O12 O 0.9035 0.2500 0.0323
```

calculated total energy: -7.12 eV per atom
magnetization: 0.00 μB per formula unit

[3]
Computed, not measured: crystalline Cd4Pd3Au2 at its relaxed geometry at the PBE-GGA level of DFT.

```
data_Cd4Pd3Au2
_chemical_formula_sum 'Cd4 Pd3 Au2'
_symmetry_space_group_name_H-M 'P 1'
_symmetry_Int_Tables_number 1
_cell_length_a 4.2829
_cell_length_b 4.9984
_cell_length_c 8.6535
_cell_angle_alpha 76.36
_cell_angle_beta 89.94
_cell_angle_gamma 64.71
loop_
_symmetry_equiv_pos_as_xyz
'x,y,z'
loop_
_atom_site_label
_atom_site_type_symbol
_atom_site_fract_x
_atom_site_fract_y
_atom_site_fract_z
Cd1 Cd 0.0144 0.4708 0.3411
Cd2 Cd 0.3388 0.8230 0.1120
Cd3 Cd 0.6612 0.1770 0.8880
Cd4 Cd 0.9856 0.5292 0.6589
Pd1 Pd 0.0000 0.5000 0.0000
Pd2 Pd 0.3350 0.8290 0.4393
Pd3 Pd 0.6650 0.1710 0.5607
Au1 Au 0.3253 0.8484 0.7740
Au2 Au 0.6747 0.1516 0.2260
```

calculated total energy: -3.15 eV per atom
magnetization: 0.00 μB per formula unit
energy of formation: -27.8 kJ per mole of atoms

[4]
Computed, not measured: crystalline Ac2Tb5Pm2 at its relaxed geometry at the PBE-GGA level of DFT.

```
data_Ac2Tb5Pm2
_chemical_formula_sum 'Ac2 Tb5 Pm2'
_symmetry_space_group_name_H-M 'P 1'
_symmetry_Int_Tables_number 1
_cell_length_a 11.2457
_cell_length_b 11.2457
_cell_length_c 8.3669
_cell_angle_alpha 98.43
_cell_angle_beta 98.43
_cell_angle_gamma 18.59
loop_
_symmetry_equiv_pos_as_xyz
'x,y,z'
loop_
_atom_site_label
_atom_site_type_symbol
_atom_site_fract_x
_atom_site_fract_y
_atom_site_fract_z
Ac1 Ac 0.1822 0.1822 0.1355
Ac2 Ac 0.8178 0.8178 0.8645
Tb1 Tb 0.0000 0.0000 0.0000
Tb2 Tb 0.0934 0.0934 0.7232
Tb3 Tb 0.3101 0.3101 0.4701
Tb4 Tb 0.6899 0.6899 0.5299
Tb5 Tb 0.9066 0.9066 0.2768
Pm1 Pm 0.4524 0.4524 0.6484
Pm2 Pm 0.5476 0.5476 0.3516
```

calculated total energy: -4.33 eV per atom
magnetization: 0.00 μB per formula unit
energy of formation: 20.3 kJ per mole of atoms

[5]
Computed, not measured: crystalline SrMg2P at its relaxed geometry at the PBE-GGA level of DFT.

```
data_SrMg2P
_chemical_formula_sum 'Sr1 Mg2 P1'
_symmetry_space_group_name_H-M 'P 1'
_symmetry_Int_Tables_number 1
_cell_length_a 5.2139
_cell_length_b 5.2139
_cell_length_c 5.2139
_cell_angle_alpha 60.00
_cell_angle_beta 60.00
_cell_angle_gamma 60.00
loop_
_symmetry_equiv_pos_as_xyz
'x,y,z'
loop_
_atom_site_label
_atom_site_type_symbol
_atom_site_fract_x
_atom_site_fract_y
_atom_site_fract_z
Sr1 Sr 0.0000 0.0000 0.0000
Mg1 Mg 0.5000 0.5000 0.5000
Mg2 Mg 0.7500 0.7500 0.7500
P1 P 0.2500 0.2500 0.2500
```

calculated total energy: -2.68 eV per atom
magnetization: 0.00 μB per formula unit
energy of formation: -11.1 kJ per mole of atoms

[6]
Computed, not measured: crystalline CeTl3Te3 at its relaxed geometry at the PBE-GGA level of DFT.

```
data_CeTl3Te3
_chemical_formula_sum 'Ce2 Tl6 Te6'
_symmetry_space_group_name_H-M 'P 1'
_symmetry_Int_Tables_number 1
_cell_length_a 9.6299
_cell_length_b 4.6387
_cell_length_c 13.3529
_cell_angle_alpha 90.00
_cell_angle_beta 92.29
_cell_angle_gamma 90.00
loop_
_symmetry_equiv_pos_as_xyz
'x,y,z'
loop_
_atom_site_label
_atom_site_type_symbol
_atom_site_fract_x
_atom_site_fract_y
_atom_site_fract_z
Ce1 Ce 0.1264 0.2500 0.1256
Ce2 Ce 0.8736 0.7500 0.8744
Tl1 Tl 0.1151 0.2500 0.6318
Tl2 Tl 0.3571 0.7500 0.3678
Tl3 Tl 0.3696 0.7500 0.8805
Tl4 Tl 0.6304 0.2500 0.1195
Tl5 Tl 0.6429 0.2500 0.6322
Tl6 Tl 0.8849 0.7500 0.3682
Te1 Te 0.1036 0.2500 0.8855
Te2 Te 0.1219 0.2500 0.3638
Te3 Te 0.3555 0.7500 0.1256
Te4 Te 0.6445 0.2500 0.8744
Te5 Te 0.8781 0.7500 0.6362
Te6 Te 0.8964 0.7500 0.1145
```

calculated total energy: -3.90 eV per atom
magnetization: 1.00 μB per formula unit

[7]
Computed, not measured: crystalline Zr2SbPb at its relaxed geometry at the PBE-GGA level of DFT.

```
data_Zr2SbPb
_chemical_formula_sum 'Zr2 Sb1 Pb1'
_symmetry_space_group_name_H-M 'P 1'
_symmetry_Int_Tables_number 1
_cell_length_a 3.9976
_cell_length_b 3.9976
_cell_length_c 6.0935
_cell_angle_alpha 90.00
_cell_angle_beta 90.00
_cell_angle_gamma 90.00
loop_
_symmetry_equiv_pos_as_xyz
'x,y,z'
loop_
_atom_site_label
_atom_site_type_symbol
_atom_site_fract_x
_atom_site_fract_y
_atom_site_fract_z
Zr1 Zr 0.0000 0.0000 0.0000
Zr2 Zr 0.5000 0.5000 0.2923
Sb1 Sb 0.5000 0.5000 0.8116
Pb1 Pb 0.0000 0.0000 0.4897
```

calculated total energy: -6.58 eV per atom
magnetization: 0.00 μB per formula unit

[8]
Computed, not measured: crystalline Pr6Nd3Sc2 at its relaxed geometry at the PBE-GGA level of DFT.

```
data_Pr6Nd3Sc2
_chemical_formula_sum 'Pr6 Nd3 Sc2'
_symmetry_space_group_name_H-M 'P 1'
_symmetry_Int_Tables_number 1
_cell_length_a 6.7636
_cell_length_b 6.7636
_cell_length_c 10.5521
_cell_angle_alpha 90.02
_cell_angle_beta 90.02
_cell_angle_gamma 128.70
loop_
_symmetry_equiv_pos_as_xyz
'x,y,z'
loop_
_atom_site_label
_atom_site_type_symbol
_atom_site_fract_x
_atom_site_fract_y
_atom_site_fract_z
Pr1 Pr 0.0009 0.0009 0.2864
Pr2 Pr 0.3483 0.6501 0.8169
Pr3 Pr 0.3499 0.6517 0.1831
Pr4 Pr 0.6501 0.3483 0.8169
Pr5 Pr 0.6517 0.3499 0.1831
Pr6 Pr 0.9991 0.9991 0.7136
Nd1 Nd 0.2041 0.7959 0.5000
Nd2 Nd 0.5000 0.5000 0.5000
Nd3 Nd 0.7959 0.2041 0.5000
Sc1 Sc 0.1276 0.8724 0.0000
Sc2 Sc 0.8724 0.1276 0.0000
```

calculated total energy: -4.92 eV per atom
magnetization: 0.00 μB per formula unit
energy of formation: 13.1 kJ per mole of atoms